VASP calculation (PBE) on a relaxed ZrB2Ir crystal.

Calculated values
Calculated total energy (Ry/atom): -0.5131
Magnetization (μB per cell): 0.000
SG: No. 216

Cell: 4.2121 4.2121 4.2121 Å, 60.00 60.00 60.00°
Last column: nearest neighbours and their distance in Å.
Fractional positions:
1 B 0.0000 0.0000 0.0000  4 Zr 2.58, 4 B 2.58
2 B 0.2500 0.2500 0.2500  4 Ir 2.58, 4 B 2.58
3 Ir 0.5000 0.5000 0.5000  4 Zr 2.58, 4 B 2.58
4 Zr 0.7500 0.7500 0.7500  4 Ir 2.58, 4 B 2.58